CaHgPtS2 | PBE-GGA | relaxed

- SG = P4/mmm
- uncorrected energy (eV for the cell shown) = -13.3

abc: 4.825 6.260 4.825
angles: 90.00 90.00 90.00
Atoms (fractional coordinates):
S: 0.500 0.000 0.000
S: 0.000 0.000 0.500
Ca: 0.000 0.500 0.000
Hg: 0.000 0.000 0.000
Pt: 0.500 0.500 0.500

***

CdPbF | PBE-GGA | relaxed

- SG = P3m1
- energy relative to the lowest polymorph listed for this composition (eV/atom) = 0.011

abc: 3.416 3.416 6.663
angles: 90.00 90.00 120.00
Atoms (fractional coordinates):
Cd: 0.333 0.667 0.602
F: 0.667 0.333 0.396
Pb: 0.000 0.000 0.002

***

Pr3Ni2Sn7 | PBE-GGA | relaxed

- SG = P2/m
- calculated formation energy (eV/atom) = -0.586

abc: 4.608 4.634 14.067
angles: 80.54 90.00 90.00
Atoms (fractional coordinates):
Sn: 0.500 0.281 0.437
Sn: 0.500 0.719 0.563
Sn: 0.000 0.410 0.180
Sn: 0.500 0.909 0.181
Sn: 0.000 0.590 0.820
Sn: 0.500 0.091 0.819
Sn: 0.000 0.000 0.000
Pr: 0.500 0.500 0.000
Pr: 0.000 0.815 0.370
Pr: 0.000 0.185 0.630
Ni: 0.500 0.371 0.257
Ni: 0.500 0.629 0.743